*a*
Computed, not measured: a geometry-optimized Hg2BiN structure at the PBE level of DFT.

Values from the calculation:
space group = Fm-3m
total magnetic moment = 0.000 μB/f.u.

Geometry as extended XYZ:
```
16
Lattice="7.0661 0.0000 0.0000 0.0000 7.0661 0.0000 0.0000 0.0000 7.0661" Properties=species:S:1:pos:R:3 pbc="T T T"
Hg 1.7665 1.7665 1.7665
Hg 1.7665 1.7665 5.2996
Hg 1.7665 5.2996 1.7665
Hg 1.7665 5.2996 5.2996
Hg 5.2996 1.7665 1.7665
Hg 5.2996 1.7665 5.2996
Hg 5.2996 5.2996 1.7665
Hg 5.2996 5.2996 5.2996
Bi 0.0000 0.0000 0.0000
Bi 0.0000 3.5330 3.5330
Bi 3.5330 0.0000 3.5330
Bi 3.5330 3.5330 0.0000
N 0.0000 0.0000 3.5330
N 0.0000 3.5330 0.0000
N 3.5330 0.0000 0.0000
N 3.5330 3.5330 3.5330
```



*b*
Computed, not measured: a geometry-optimized Hg2BiN structure at the PBE level of DFT.

Values from the calculation:
space group = P-1
total magnetic moment = 0.000 μB/f.u.

Geometry as extended XYZ:
```
8
Lattice="3.7173 0.0000 0.0000 0.0009 5.0763 0.0000 0.0448 2.2508 10.9279" Properties=species:S:1:pos:R:3 pbc="T T T"
Hg 0.9381 2.4295 4.7964
Hg 0.9295 3.2848 1.2839
Hg 2.8335 4.0423 9.6440
Hg 2.8250 4.8976 6.1315
Bi 0.9752 1.9818 8.4012
Bi 2.7878 5.3452 2.5267
N 0.9744 5.4209 9.7604
N 2.7887 1.9062 1.1675
```



*c*
Computed, not measured: a geometry-optimized Hg2BiN structure at the PBE level of DFT.

Values from the calculation:
space group = I-42d
total magnetic moment = 0.000 μB/f.u.

Geometry as extended XYZ:
```
16
Lattice="6.4023 0.0000 0.0000 0.0000 6.4023 0.0000 0.0000 0.0000 10.1163" Properties=species:S:1:pos:R:3 pbc="T T T"
Hg 0.8106 1.6006 1.2645
Hg 1.6006 4.0117 3.7936
Hg 1.6006 5.5917 8.8517
Hg 2.3906 1.6006 6.3227
Hg 4.0117 4.8017 6.3227
Hg 4.8017 0.8106 8.8517
Hg 4.8017 2.3906 3.7936
Hg 5.5917 4.8017 1.2645
Bi 0.0000 0.0000 5.0581
Bi 0.0000 3.2011 7.5872
Bi 3.2011 0.0000 2.5291
Bi 3.2011 3.2011 0.0000
N 0.0000 0.0000 0.0000
N 0.0000 3.2011 2.5291
N 3.2011 0.0000 7.5872
N 3.2011 3.2011 5.0581
```



Order from most stable to least stable according to the calculation: *b*, *c*, *a*



*a*
Computed, not measured: a geometry-optimized HgBiN2 structure at the PBE level of DFT.

Values from the calculation:
space group = R-3m
total magnetic moment = 0.000 μB/f.u.

Geometry as extended XYZ:
```
12
Lattice="3.6629 0.0000 0.0000 -1.8314 3.1721 0.0000 0.0000 0.0000 19.2494" Properties=species:S:1:pos:R:3 pbc="T T T"
Hg 0.0000 0.0000 0.0000
Hg 0.0000 2.1148 12.8329
Hg 1.8314 1.0574 6.4165
Bi 0.0000 0.0000 9.6247
Bi 0.0000 2.1148 3.2082
Bi 1.8314 1.0574 16.0411
N 0.0000 0.0000 2.0521
N 0.0000 0.0000 17.1973
N 0.0000 2.1148 10.7809
N 0.0000 2.1148 14.8850
N 1.8314 1.0574 4.3644
N 1.8314 1.0574 8.4685
```



*b*
Computed, not measured: a geometry-optimized HgBiN2 structure at the PBE level of DFT.

Values from the calculation:
space group = Fm-3m
total magnetic moment = 1.132 μB/f.u.

Geometry as extended XYZ:
```
16
Lattice="6.2733 0.0000 0.0000 0.0000 6.2733 0.0000 0.0000 0.0000 6.2733" Properties=species:S:1:pos:R:3 pbc="T T T"
Hg 0.0000 0.0000 0.0000
Hg 0.0000 3.1366 3.1366
Hg 3.1366 0.0000 3.1366
Hg 3.1366 3.1366 0.0000
Bi 0.0000 0.0000 3.1366
Bi 0.0000 3.1366 0.0000
Bi 3.1366 0.0000 0.0000
Bi 3.1366 3.1366 3.1366
N 1.5683 1.5683 1.5683
N 1.5683 1.5683 4.7050
N 1.5683 4.7050 1.5683
N 1.5683 4.7050 4.7050
N 4.7050 1.5683 1.5683
N 4.7050 1.5683 4.7050
N 4.7050 4.7050 1.5683
N 4.7050 4.7050 4.7050
```



Order from most stable to least stable according to the calculation: *a*, *b*



*a*
Computed, not measured: a geometry-optimized HgBiN2 structure at the PBE level of DFT.

Values from the calculation:
space group = I-42d
total magnetic moment = 0.000 μB/f.u.

Geometry as extended XYZ:
```
16
Lattice="5.3298 0.0000 0.0000 0.0000 5.3298 0.0000 0.0000 0.0000 10.6817" Properties=species:S:1:pos:R:3 pbc="T T T"
Hg 0.0000 0.0000 0.0000
Hg 0.0000 2.6649 2.6704
Hg 2.6649 0.0000 8.0113
Hg 2.6649 2.6649 5.3409
Bi 0.0000 0.0000 5.3409
Bi 0.0000 2.6649 8.0113
Bi 2.6649 0.0000 2.6704
Bi 2.6649 2.6649 0.0000
N 1.2318 1.3325 6.6761
N 1.3325 3.8967 9.3465
N 1.3325 4.0981 4.0056
N 1.4331 1.3325 1.3352
N 3.8967 3.9974 1.3352
N 3.9974 1.2318 4.0056
N 3.9974 1.4331 9.3465
N 4.0981 3.9974 6.6761
```



*b*
Computed, not measured: a geometry-optimized HgBiN2 structure at the PBE level of DFT.

Values from the calculation:
space group = R-3m
total magnetic moment = 0.000 μB/f.u.

Geometry as extended XYZ:
```
12
Lattice="3.4895 0.0000 0.0000 -1.7447 3.0220 0.0000 0.0000 0.0000 20.4479" Properties=species:S:1:pos:R:3 pbc="T T T"
Hg 0.0000 0.0000 0.0000
Hg 0.0000 2.0146 13.6319
Hg 1.7447 1.0073 6.8160
Bi 0.0000 0.0000 10.2239
Bi 0.0000 2.0146 3.4080
Bi 1.7447 1.0073 17.0399
N 0.0000 0.0000 7.8943
N 0.0000 0.0000 12.5536
N 0.0000 2.0146 1.0783
N 0.0000 2.0146 5.7377
N 1.7447 1.0073 14.7102
N 1.7447 1.0073 19.3696
```



Order from most stable to least stable according to the calculation: *a*, *b*



*a*
Computed, not measured: a geometry-optimized Hg3BiN structure at the PBE level of DFT.

Values from the calculation:
space group = P2_1/c
total magnetic moment = 0.000 μB/f.u.

Geometry as extended XYZ:
```
20
Lattice="7.0280 0.0000 0.0000 0.0000 5.8868 0.0000 -0.8260 0.0000 13.0418" Properties=species:S:1:pos:R:3 pbc="T T T"
Hg 0.3974 0.6131 2.4516
Hg -0.0156 2.3303 8.9725
Hg 1.3218 3.4289 0.8707
Hg 0.9088 5.4013 7.3916
Hg 2.2704 3.8531 10.8346
Hg 2.6834 4.9771 4.3137
Hg 3.5186 0.9097 8.7281
Hg 3.9316 2.0337 2.2072
Hg 5.2932 0.4855 5.6502
Hg 4.8802 2.4579 12.1712
Hg 6.2176 3.5566 4.0693
Hg 5.8046 5.2737 10.5902
Bi 1.1313 0.4260 11.8496
Bi 1.5443 2.5174 5.3287
Bi 4.6577 3.3694 7.7131
Bi 5.0707 5.4608 1.1922
N 2.1666 1.2062 3.6315
N 1.7536 1.7372 10.1524
N 4.4484 4.1496 2.8894
N 4.0354 4.6806 9.4103
```



*b*
Computed, not measured: a geometry-optimized Hg3BiN structure at the PBE level of DFT.

Values from the calculation:
space group = Pm-3m
total magnetic moment = 0.000 μB/f.u.

Geometry as extended XYZ:
```
5
Lattice="4.8528 0.0000 0.0000 0.0000 4.8528 0.0000 0.0000 0.0000 4.8528" Properties=species:S:1:pos:R:3 pbc="T T T"
Hg 0.0000 0.0000 2.4264
Hg 0.0000 2.4264 0.0000
Hg 2.4264 0.0000 0.0000
Bi 2.4264 2.4264 2.4264
N 0.0000 0.0000 0.0000
```



*c*
Computed, not measured: a geometry-optimized Hg3BiN structure at the PBE level of DFT.

Values from the calculation:
space group = Pm-3m
total magnetic moment = 2.773 μB/f.u.

Geometry as extended XYZ:
```
5
Lattice="6.0735 0.0000 0.0000 0.0000 6.0735 0.0000 0.0000 0.0000 6.0735" Properties=species:S:1:pos:R:3 pbc="T T T"
Hg 0.0000 0.0000 3.0367
Hg 0.0000 3.0367 0.0000
Hg 3.0367 0.0000 0.0000
Bi 0.0000 0.0000 0.0000
N 3.0367 3.0367 3.0367
```



Order from most stable to least stable according to the calculation: *a*, *b*, *c*



*a*
Computed, not measured: a geometry-optimized NaHg6Bi structure at the PBE level of DFT.

Values from the calculation:
space group = Cmmm
total magnetic moment = 0.000 μB/f.u.

Geometry as extended XYZ:
```
16
Lattice="7.0241 0.0000 0.0000 0.0000 10.7958 0.0000 0.0000 0.0000 5.7798" Properties=species:S:1:pos:R:3 pbc="T T T"
Na 0.0000 0.0000 0.0000
Na 3.5121 5.3979 0.0000
Hg 0.0000 2.4964 2.8899
Hg 0.0000 8.2994 2.8899
Hg 1.6097 5.3979 2.8899
Hg 1.7560 2.6990 0.0000
Hg 1.7560 8.0969 0.0000
Hg 1.9023 0.0000 2.8899
Hg 3.5121 2.9015 2.8899
Hg 3.5121 7.8944 2.8899
Hg 5.1218 0.0000 2.8899
Hg 5.2681 2.6990 0.0000
Hg 5.2681 8.0969 0.0000
Hg 5.4144 5.3979 2.8899
Bi 0.0000 5.3979 0.0000
Bi 3.5121 0.0000 0.0000
```



*b*
Computed, not measured: a geometry-optimized NaHg6Bi structure at the PBE level of DFT.

Values from the calculation:
space group = Amm2
total magnetic moment = 0.000 μB/f.u.

Geometry as extended XYZ:
```
16
Lattice="5.7043 0.0000 0.0000 0.0000 7.5549 0.0000 0.0000 0.0000 10.0916" Properties=species:S:1:pos:R:3 pbc="T T T"
Na 0.0000 0.0000 0.0000
Na 0.0000 3.7775 5.0458
Hg 0.0000 0.0000 5.3975
Hg 0.0000 1.6876 2.6920
Hg 0.0000 2.0898 7.7378
Hg 0.0000 3.7775 0.3517
Hg 0.0000 5.4651 7.7378
Hg 0.0000 5.8673 2.6920
Hg 2.8521 0.0000 2.1457
Hg 2.8521 1.6317 4.9750
Hg 2.8521 2.1457 10.0208
Hg 2.8521 3.7775 7.1915
Hg 2.8521 5.4092 10.0208
Hg 2.8521 5.9232 4.9750
Bi 2.8521 0.0000 7.7642
Bi 2.8521 3.7775 2.7184
```



Order from most stable to least stable according to the calculation: *a*, *b*



*a*
Computed, not measured: a geometry-optimized Na4Hg3Bi structure at the PBE level of DFT.

Values from the calculation:
space group = Pmm2
total magnetic moment = 0.000 μB/f.u.

Geometry as extended XYZ:
```
8
Lattice="3.5812 0.0000 0.0000 0.0000 5.1532 0.0000 0.0000 0.0000 12.1462" Properties=species:S:1:pos:R:3 pbc="T T T"
Na 0.0000 0.0000 0.0000
Na 0.0000 2.5766 3.7891
Na 1.7906 0.0000 6.0597
Na 1.7906 2.5766 9.8708
Hg 0.0000 2.5766 6.8935
Hg 1.7906 0.0000 2.8167
Hg 1.7906 2.5766 1.0147
Bi 0.0000 0.0000 8.8877
```



*b*
Computed, not measured: a geometry-optimized Na4Hg3Bi structure at the PBE level of DFT.

Values from the calculation:
space group = C2/m
total magnetic moment = 0.000 μB/f.u.

Geometry as extended XYZ:
```
16
Lattice="18.5355 0.0000 0.0000 0.0000 4.8900 0.0000 -1.2612 0.0000 4.7252" Properties=species:S:1:pos:R:3 pbc="T T T"
Na 2.1497 0.0000 0.5869
Na 1.5196 2.4450 2.9483
Na 6.4869 0.0000 1.7769
Na 5.8568 2.4450 4.1384
Na 10.7874 0.0000 2.9483
Na 11.4175 2.4450 0.5869
Na 15.1245 0.0000 4.1384
Na 15.7546 2.4450 1.7769
Hg -0.6306 0.0000 2.3626
Hg 3.6585 0.0000 3.5266
Hg 4.3480 2.4450 1.1987
Hg 8.6371 2.4450 2.3626
Hg 12.9263 2.4450 3.5266
Hg 13.6157 0.0000 1.1987
Bi 0.0000 2.4450 0.0000
Bi 9.2677 0.0000 0.0000
```



Order from most stable to least stable according to the calculation: *a*, *b*